# ZrCoRe2 (SCAN, single point on PBEsol structure)
data_ZrCoRe2
_symmetry_space_group_name_H-M 'C 1 2/m 1'
_symmetry_Int_Tables_number 12
_cell_length_a 9.8549
_cell_length_b 2.7791
_cell_length_c 4.5164
_cell_angle_alpha 90.00
_cell_angle_beta 105.22
_cell_angle_gamma 90.00
loop_
_symmetry_equiv_pos_as_xyz
'x,y,z'
'-x,-y,-z'
'-x,y,-z'
'x,-y,z'
'x+1/2,y+1/2,z'
'-x+1/2,-y+1/2,-z'
'-x+1/2,y+1/2,-z'
'x+1/2,-y+1/2,z'
loop_
_atom_site_label
_atom_site_fract_x
_atom_site_fract_y
_atom_site_fract_z
_atom_site_occupancy
Zr1 0.0000 0.0000 0.0000 1
Co1 0.0000 0.5000 0.5000 1
Re1 0.2193 0.0000 0.7211 1
# DFT total energy   -47.524 eV per atom
# Total moment   1.283 μB per formula unit
# Crystal system   monoclinic
# DOS at the Fermi energy   6.09 states/eV per cell